No. 1
Below is crystalline Co2PSe at its relaxed geometry, with properties calculated at the PBE-GGA level.

- Total energy: -5.753 eV per atom
- Formation energy without anion corrections: 0.024 eV per atom

Cell: 2.8000 2.8012 6.4557 Å, 90.00 90.00 90.00°
Element x y z (fractional)
Se 0.5000 0.5000 0.7500
Co 0.0000 0.0000 0.0556
Co 0.0000 0.0000 0.4444
P 0.5000 0.5000 0.2500


No. 2
Below is crystalline CoP4Se at its relaxed geometry, with properties calculated at the PBE-GGA level.

- Total energy: -4.479 eV per atom
- Formation energy without anion corrections: 0.893 eV per atom

Cell: 5.0789 5.0789 5.0789 Å, 60.00 60.00 60.00°
Element x y z (fractional)
P 0.1296 0.6235 0.6235
P 0.6235 0.6235 0.6235
P 0.6235 0.1296 0.6235
P 0.6235 0.6235 0.1296
Co 0.0000 0.0000 0.0000
Se 0.2500 0.2500 0.2500


No. 3
Below is crystalline Co2PSe at its relaxed geometry, with properties calculated at the PBE-GGA level.

- Total energy: -5.904 eV per atom
- Formation energy without anion corrections: -0.128 eV per atom

Cell: 2.8870 2.7100 6.6034 Å, 90.01 90.00 90.00°
Element x y z (fractional)
Co 0.0000 0.7495 0.4345
Co 0.0000 0.7505 0.0655
Se 0.5000 0.7500 0.7500
P 0.5000 0.2500 0.2500


No. 4
Below is crystalline Co2PSe at its relaxed geometry, with properties calculated at the PBE-GGA level.

- Total energy: -5.642 eV per atom
- Formation energy without anion corrections: 0.134 eV per atom

Cell: 4.3653 4.3653 4.3653 Å, 131.98 114.77 84.97°
Element x y z (fractional)
Se 0.7500 0.2500 0.5000
Co 0.4481 0.4481 0.0000
Co 0.0519 0.0519 0.0000
P 0.2500 0.7500 0.5000


No. 5
Below is crystalline Co2PSe at its relaxed geometry, with properties calculated at the PBE-GGA level.

- Total energy: -5.599 eV per atom
- Formation energy without anion corrections: 0.177 eV per atom

Cell: 4.1649 4.1649 2.9428 Å, 90.01 90.01 89.80°
Element x y z (fractional)
Se 0.0000 0.5000 0.5000
P 0.5000 0.0000 0.5000
Co 0.0000 0.0000 0.0000
Co 0.5000 0.5000 0.0000


No. 6
Below is crystalline Co2PSe at its relaxed geometry, with properties calculated at the PBE-GGA level.

- Total energy: -5.905 eV per atom
- Formation energy without anion corrections: -0.129 eV per atom

Cell: 4.9690 4.9690 6.4359 Å, 67.29 67.29 90.00°
Element x y z (fractional)
Co 0.8750 0.8469 0.7500
Co 0.5969 0.1250 0.2500
Co 0.3750 0.4031 0.7500
Co 0.1531 0.6250 0.2500
Se 0.0000 0.0000 0.0000
Se 0.7500 0.2500 0.5000
P 0.2500 0.7500 0.5000
P 0.5000 0.5000 0.0000


No. 7
Below is crystalline Co2PSe at its relaxed geometry, with properties calculated at the PBE-GGA level.

- Total energy: -5.509 eV per atom
- Formation energy without anion corrections: 0.267 eV per atom

Cell: 4.8968 4.8968 4.8968 Å, 138.79 138.79 59.70°
Element x y z (fractional)
Co 0.2500 0.7500 0.5000
Co 0.0000 0.0000 0.0000
Se 0.7500 0.2500 0.5000
P 0.5000 0.5000 0.0000


No. 8
Below is crystalline CoPSe at its relaxed geometry, with properties calculated at the PBE-GGA level.

- Total energy: -5.240 eV per atom
- Formation energy without anion corrections: 0.093 eV per atom

Cell: 7.0838 7.0835 2.7453 Å, 78.83 78.82 22.35°
Element x y z (fractional)
Se 0.3792 0.3792 0.6208
P 0.6093 0.6093 0.3907
Co 0.0115 0.0115 0.9885


No. 9
Below is crystalline Co2PSe2 at its relaxed geometry, with properties calculated at the PBE-GGA level.

- Total energy: -5.015 eV per atom
- Offset from the most stable computed form: 0.000 eV/atom
- Formation energy without anion corrections: 0.303 eV per atom

Cell: 6.8432 6.8432 3.1000 Å, 90.00 90.00 90.00°
Element x y z (fractional)
Co 0.1318 0.3682 0.0000
Co 0.3682 0.8682 0.0000
Co 0.6318 0.1318 0.0000
Co 0.8682 0.6318 0.0000
Se 0.1521 0.6521 0.5000
Se 0.8479 0.3479 0.5000
Se 0.3479 0.1521 0.5000
Se 0.6521 0.8479 0.5000
P 0.5000 0.5000 0.0000
P 0.0000 0.0000 0.0000


No. 10
Below is crystalline Co2PSe at its relaxed geometry, with properties calculated at the PBE-GGA level.

- Total energy: -5.917 eV per atom
- Formation energy without anion corrections: -0.140 eV per atom

Cell: 3.1813 3.1813 5.4311 Å, 90.00 90.00 90.00°
Element x y z (fractional)
P 0.0000 0.0000 0.3895
Co 0.0000 0.0000 0.9907
Co 0.5000 0.5000 0.2782
Se 0.5000 0.5000 0.8416


No. 11
Below is crystalline CoP3Se at its relaxed geometry, with properties calculated at the PBE-GGA level.

- Total energy: -4.792 eV per atom
- Offset from the most stable computed form: 0.000 eV/atom
- Formation energy without anion corrections: 0.572 eV per atom

Cell: 4.3843 4.3843 4.3843 Å, 90.00 90.00 90.00°
Element x y z (fractional)
Se 0.5000 0.5000 0.5000
P 0.0000 0.5000 0.0000
P 0.5000 0.0000 0.0000
P 0.0000 0.0000 0.5000
Co 0.0000 0.0000 0.0000


No. 12
Below is crystalline Co2PSe at its relaxed geometry, with properties calculated at the PBE-GGA level.

- Total energy: -5.133 eV per atom
- Formation energy without anion corrections: 0.643 eV per atom

Cell: 4.2423 4.2423 4.2423 Å, 60.00 60.00 60.00°
Element x y z (fractional)
Co 0.0000 0.0000 0.0000
Co 0.2500 0.2500 0.2500
Se 0.7500 0.7500 0.7500
P 0.5000 0.5000 0.5000


No. 13
Below is crystalline CoPSe3 at its relaxed geometry, with properties calculated at the PBE-GGA level.

- Total energy: -3.708 eV per atom
- Formation energy without anion corrections: 0.886 eV per atom

Cell: 4.8046 4.8046 4.8046 Å, 90.00 90.00 90.00°
Element x y z (fractional)
Se 0.0000 0.5000 0.0000
Se 0.0000 0.0000 0.5000
Se 0.5000 0.0000 0.0000
Co 0.5000 0.5000 0.5000
P 0.0000 0.0000 0.0000


No. 14
Below is crystalline CoPSe3 at its relaxed geometry, with properties calculated at the PBE-GGA level.

- Total energy: -3.937 eV per atom
- Formation energy without anion corrections: 0.656 eV per atom

Cell: 4.6277 4.6277 4.6277 Å, 90.00 90.00 90.00°
Element x y z (fractional)
Se 0.0000 0.0000 0.5000
Se 0.5000 0.0000 0.0000
Se 0.0000 0.5000 0.0000
Co 0.0000 0.0000 0.0000
P 0.5000 0.5000 0.5000


No. 15
Below is crystalline Co4PSe at its relaxed geometry, with properties calculated at the PBE-GGA level.

- Total energy: -5.722 eV per atom
- Formation energy without anion corrections: 0.498 eV per atom

Cell: 4.8108 4.8108 4.8108 Å, 60.00 60.00 60.00°
Element x y z (fractional)
Co 0.6245 0.1264 0.6245
Co 0.6245 0.6245 0.1264
Co 0.1264 0.6245 0.6245
Co 0.6245 0.6245 0.6245
P 0.2500 0.2500 0.2500
Se 0.0000 0.0000 0.0000


No. 16
Below is crystalline CoPSe at its relaxed geometry, with properties calculated at the PBE-GGA level.

- Total energy: -5.784 eV per atom
- Formation energy without anion corrections: -0.451 eV per atom

Cell: 5.5940 5.7509 5.8062 Å, 104.53 90.00 90.00°
Element x y z (fractional)
Co 0.4849 0.7537 0.2656
Co 0.5151 0.2463 0.7344
Co 0.0151 0.2537 0.2656
Co 0.9849 0.7463 0.7344
P 0.1265 0.6384 0.3657
P 0.8735 0.3617 0.6343
P 0.6265 0.8616 0.6343
P 0.3735 0.1384 0.3657
Se 0.8744 0.8446 0.1537
Se 0.6256 0.3446 0.1537
Se 0.3744 0.6554 0.8463
Se 0.1256 0.1554 0.8463


No. 17
Below is crystalline CoP2Se2 at its relaxed geometry, with properties calculated at the PBE-GGA level.

- Total energy: -4.481 eV per atom
- Formation energy without anion corrections: 0.498 eV per atom

Cell: 5.0520 5.0520 5.0520 Å, 118.79 118.79 92.10°
Element x y z (fractional)
Co 0.0000 0.0000 0.0000
P 0.6839 0.6839 0.0000
P 0.3161 0.3161 0.0000
Se 0.2500 0.7500 0.5000
Se 0.7500 0.2500 0.5000


No. 18
Below is crystalline CoPSe at its relaxed geometry, with properties calculated at the PBE-GGA level.

- Total energy: -5.793 eV per atom
- Formation energy without anion corrections: -0.460 eV per atom

Cell: 5.5980 5.6790 11.2248 Å, 90.00 90.00 90.00°
Element x y z (fractional)
P 0.3712 0.3206 0.4357
P 0.6288 0.8206 0.0643
P 0.3712 0.1794 0.9357
P 0.8712 0.3206 0.0643
P 0.6288 0.6794 0.5643
P 0.8712 0.1794 0.5643
P 0.1288 0.8206 0.4357
P 0.1288 0.6794 0.9357
Co 0.5136 0.1792 0.1201
Co 0.4864 0.6792 0.3799
Co 0.9864 0.8208 0.6201
Co 0.4864 0.8208 0.8799
Co 0.5136 0.3208 0.6201
Co 0.0136 0.3208 0.8799
Co 0.0136 0.1792 0.3799
Co 0.9864 0.6792 0.1201
Se 0.6189 0.0696 0.3231
Se 0.1189 0.4304 0.6769
Se 0.8811 0.5696 0.3231
Se 0.1189 0.0696 0.1769
Se 0.3811 0.9304 0.6769
Se 0.3811 0.5696 0.1769
Se 0.6189 0.4304 0.8231
Se 0.8811 0.9304 0.8231


No. 19
Below is crystalline Co2PSe at its relaxed geometry, with properties calculated at the PBE-GGA level.

- Total energy: -5.944 eV per atom
- Formation energy without anion corrections: -0.167 eV per atom

Cell: 3.9056 3.9056 5.0516 Å, 82.96 82.96 47.93°
Element x y z (fractional)
Co 0.9938 0.9938 0.9788
Co 0.7730 0.7730 0.6027
P 0.4707 0.4707 0.6914
Se 0.2625 0.2625 0.2272


No. 20
Below is crystalline Co2PSe at its relaxed geometry, with properties calculated at the PBE-GGA level.

- Total energy: -5.606 eV per atom
- Formation energy without anion corrections: 0.170 eV per atom

Cell: 4.1638 4.1638 4.1638 Å, 60.00 60.00 60.00°
Element x y z (fractional)
Co 0.2500 0.2500 0.2500
Co 0.7500 0.7500 0.7500
P 0.0000 0.0000 0.0000
Se 0.5000 0.5000 0.5000